The following is a SCAN calculation of a crystal of Y4ZrPb relaxed with PBEsol, from the Alexandria database.

Properties
The density of states at the Fermi level is 5.71 states/eV per cell. The value obtained for the energy of formation is 0.296 eV per atom. The energy comes out at -36.0128 eV/atom.

Unit cell a=6.1872 b=6.1872 c=6.1872 alpha=60.00 beta=60.00 gamma=60.00
Last column: magnetic moment on the atom in μB.
Element x y z (fractional)
Y 0.3763 0.8710 0.3763  0.05
Y 0.8710 0.3763 0.3763  0.05
Y 0.3763 0.3763 0.8710  0.05
Y 0.3763 0.3763 0.3763  0.05
Pb 0.0000 0.0000 0.0000  0.00
Zr 0.7500 0.7500 0.7500  0.57

---

The following is a SCAN calculation of a crystal of Mg2SbPb relaxed with PBEsol, from the Alexandria database.

Properties
The density of states at the Fermi level is 0.95 states/eV per cell. The energy comes out at -30.9179 eV/atom. The value obtained for the formation energy from raw total energies is -16 kJ/mol of atoms.

Unit cell a=4.0643 b=4.9913 c=5.6580 alpha=105.24 beta=90.00 gamma=114.03
Element x y z (fractional)
Mg 0.2425 0.4850 0.2375
Mg 0.7575 0.5150 0.7625
Sb 0.5000 0.0000 0.0000
Pb 0.0000 0.0000 0.5000

---

The following is a SCAN calculation of a crystal of Y2NiAg relaxed with PBEsol, from the Alexandria database.

Properties
The density of states at the Fermi level is 2.31 states/eV per cell. The value obtained for the energy of formation is -0.371 eV per atom. The energy comes out at -26.1773 eV/atom.

Unit cell a=3.7327 b=4.4660 c=5.4916 alpha=90.00 beta=109.87 gamma=90.00
Element x y z (fractional)
Ag 0.8283 0.0000 0.6565
Y 0.3946 0.5000 0.7892
Y 0.1133 0.0000 0.2265
Ni 0.6751 0.5000 0.3503

---

The following is a SCAN calculation of a crystal of Li2MgGeOs relaxed with PBEsol, from the Alexandria database.

Properties
The density of states at the Fermi level is 3.44 states/eV per cell. The value obtained for the energy of formation is 0.994 eV per atom. The energy comes out at -19.1502 eV/atom.

Unit cell a=4.5902 b=4.5902 c=4.8837 alpha=90.00 beta=90.00 gamma=90.00
Last column: magnetic moment on the atom in μB.
Element x y z (fractional)
Os 0.0000 0.0000 0.0000  0.35
Ge 0.5000 0.5000 0.5000  -0.02
Li 0.0000 0.5000 0.0000  0.00
Li 0.5000 0.0000 0.0000  0.00
Mg 0.0000 0.0000 0.5000  0.00

---

The following is a SCAN calculation of a crystal of Ba2CaHg relaxed with PBEsol, from the Alexandria database.

Properties
The density of states at the Fermi level is 3.91 states/eV per cell. The value obtained for the energy of formation is -0.346 eV per atom. The energy comes out at -39.5781 eV/atom.

Unit cell a=4.1277 b=4.1277 c=9.8769 alpha=90.00 beta=90.00 gamma=90.00
Element x y z (fractional)
Ba 0.0000 0.0000 0.6964
Ba 0.0000 0.0000 0.3036
Ca 0.5000 0.5000 0.0000
Hg 0.5000 0.5000 0.5000

---

The following is a SCAN calculation of a crystal of LiCaAs3 relaxed with PBEsol, from the Alexandria database.

Properties
The density of states at the Fermi level is 2.62 states/eV per cell. The value obtained for the energy of formation is 0.501 eV per atom. The energy comes out at -14.0241 eV/atom.

Unit cell a=5.2846 b=5.2846 c=5.2846 alpha=90.00 beta=90.00 gamma=90.00
Element x y z (fractional)
Li 0.5000 0.5000 0.5000
As 0.0000 0.5000 0.0000
As 0.0000 0.0000 0.5000
As 0.5000 0.0000 0.0000
Ca 0.0000 0.0000 0.0000